1.
Computed, not measured: an optimized crystal structure of NaCoP2Br at the PBE level of DFT.

E_form (uncorrected)   1.26 eV per atom
E_tot   -2.927 eV/atom

Unit cell a=5.0130 b=4.8726 c=5.0130 alpha=90.00 beta=90.00 gamma=90.00
With the nearest neighbours (Å) after each atom.
Element x y z (fractional)
P 0.0000 0.0000 0.5000  2 Br 2.51
P 0.5000 0.0000 0.0000  2 Br 2.51
Co 0.5000 0.5000 0.5000  8 P 3.50, 4 Na 3.54
Br 0.0000 0.0000 0.0000  2 Na 2.44, 4 P 2.51
Na 0.0000 0.5000 0.0000  2 Br 2.44

=====

2.
Computed, not measured: an optimized crystal structure of Ca3U3MnN8 at the PBE level of DFT.

E_form (uncorrected)   -1.04 eV per atom
E_tot   -8.750 eV/atom

Unit cell a=6.7412 b=6.7411 c=6.8639 alpha=119.41 beta=90.00 gamma=120.00
With the nearest neighbours (Å) after each atom.
Element x y z (fractional)
Ca 0.0000 0.0000 0.0000  6 N 2.48-2.58
Ca 0.0000 0.5000 0.0000  6 N 2.49-2.58
Ca 0.5000 0.5000 0.0000  6 N 2.49-2.58
U 0.5000 0.0000 0.5000  6 N 2.27-2.33
U 0.5000 0.5000 0.5000  6 N 2.27-2.33
U 0.0000 0.5000 0.5000  6 N 2.27-2.33
Mn 0.0000 0.0000 0.5000  6 N 2.15-2.16
N 0.2578 0.5155 0.2734  3 U 2.33, 3 Ca 2.48-2.49
N 0.7422 0.4845 0.7266  3 U 2.33, 3 Ca 2.48-2.49
N 0.7766 0.5531 0.3080  1 Mn 2.15, 2 U 2.27
N 0.2234 0.4469 0.6920  1 Mn 2.15, 2 U 2.27
N 0.7764 0.0314 0.3079  1 Mn 2.16, 2 U 2.27
N 0.2236 0.9686 0.6921  1 Mn 2.16, 2 U 2.27
N 0.2550 0.0314 0.3079  1 Mn 2.16, 2 U 2.27
N 0.7450 0.9686 0.6921  1 Mn 2.16, 2 U 2.27

=====

Repeat the first record exactly.
Computed, not measured: an optimized crystal structure of NaCoP2Br at the PBE level of DFT.

E_form (uncorrected)   1.26 eV per atom
E_tot   -2.927 eV/atom

Unit cell a=5.0130 b=4.8726 c=5.0130 alpha=90.00 beta=90.00 gamma=90.00
With the nearest neighbours (Å) after each atom.
Element x y z (fractional)
P 0.0000 0.0000 0.5000  2 Br 2.51
P 0.5000 0.0000 0.0000  2 Br 2.51
Co 0.5000 0.5000 0.5000  8 P 3.50, 4 Na 3.54
Br 0.0000 0.0000 0.0000  2 Na 2.44, 4 P 2.51
Na 0.0000 0.5000 0.0000  2 Br 2.44